Density functional theory data (GGA-PBE) for a relaxed ErNbTeC crystal.

Geometry as extended XYZ:
```
8
Lattice="3.5875 0.0000 0.0000 -1.7937 3.1068 0.0000 0.0000 0.0000 13.4265" Properties=species:S:1:pos:R:3 pbc="T T T"
Er 0.0000 2.0712 5.4046
Er 1.7937 1.0356 8.0219
Nb 0.0000 2.0712 1.0052
Nb 1.7937 1.0356 12.4213
Te 0.0000 2.0712 10.3706
Te 1.7937 1.0356 3.0559
C 0.0000 0.0000 0.0000
C 0.0000 0.0000 6.7133
```

## Properties
As for the magnetic moment: 0.0 μB per formula unit. For the energy above the most stable polymorph in this dataset, the calculation gives 0.0000 eV/atom. As for the energy: -7.370 eV per atom.